# 1
Entry from Alexandria: TlAgPd2 after structural relaxation (PBE).

a b c (Å): 3.887 4.273 4.273
angles (deg): 90.00 90.00 90.00
Sites, in units of the cell vectors:
Pd  0.000  0.500  0.000
Ag  0.500  0.000  0.000
Pd  0.000  0.000  0.500
Tl  0.500  0.500  0.500

Properties
* total DFT energy (no corrections): -4.069 eV per atom
* DFT formation energy: -0.1681 eV per atom
* density of states at the Fermi level: 0.203 states/eV per atom



# 2
Entry from Alexandria: TlAgPd2 after structural relaxation (PBE).

a b c (Å): 6.159 6.159 6.159
angles (deg): 55.20 152.59 133.08
Sites, in units of the cell vectors:
Pd  0.000  0.750  0.750
Pd  0.000  0.250  0.250
Tl  0.000  0.500  0.500
Ag  0.000  0.000  0.000

Properties
* total DFT energy (no corrections): -3.668 eV per atom
* DFT formation energy: 0.2330 eV per atom
* density of states at the Fermi level: 0.793 states/eV per atom



# 3
Entry from Alexandria: Tl3Ag2Pd8 after structural relaxation (PBE).

a b c (Å): 5.340 5.340 10.622
angles (deg): 75.44 75.44 60.00
Sites, in units of the cell vectors:
Ag  0.641  0.641  0.076
Tl  0.000  0.000  0.000
Pd  0.267  0.267  0.696
Pd  0.231  0.733  0.304
Pd  0.733  0.231  0.304
Pd  0.267  0.769  0.696
Tl  0.818  0.818  0.546
Ag  0.359  0.359  0.924
Tl  0.182  0.182  0.454
Pd  0.270  0.270  0.189
Pd  0.733  0.733  0.304
Pd  0.769  0.267  0.696
Pd  0.730  0.730  0.811

Properties
* total DFT energy (no corrections): -4.110 eV per atom
* DFT formation energy: 0.0703 eV per atom
* density of states at the Fermi level: 0.600 states/eV per atom



# 4
Entry from Alexandria: Tl5Ag2Pd4 after structural relaxation (PBE).

a b c (Å): 4.633 5.657 10.312
angles (deg): 70.19 102.98 90.00
Sites, in units of the cell vectors:
Tl  0.500  0.000  0.000
Pd  0.787  0.827  0.573
Ag  0.931  0.439  0.863
Ag  0.069  0.561  0.137
Tl  0.365  0.814  0.731
Tl  0.635  0.186  0.269
Tl  0.795  0.317  0.590
Tl  0.205  0.683  0.410
Pd  0.213  0.173  0.427
Pd  0.067  0.068  0.134
Pd  0.933  0.932  0.866

Properties
* total DFT energy (no corrections): -3.563 eV per atom
* DFT formation energy: -0.0808 eV per atom
* density of states at the Fermi level: 0.389 states/eV per atom



# 5
Entry from Alexandria: TlAg5Pd2 after structural relaxation (PBE).

a b c (Å): 4.079 5.959 11.783
angles (deg): 90.00 90.00 90.00
Sites, in units of the cell vectors:
Ag  0.000  0.000  0.000
Ag  0.500  0.724  0.632
Tl  0.000  0.000  0.500
Ag  0.000  0.474  0.747
Pd  0.500  0.768  0.379
Ag  0.500  0.276  0.368
Pd  0.500  0.232  0.621
Ag  0.500  0.776  0.132
Ag  0.000  0.526  0.253
Ag  0.500  0.224  0.868
Pd  0.500  0.732  0.879
Ag  0.000  0.026  0.247
Tl  0.000  0.500  0.000
Pd  0.500  0.268  0.121
Ag  0.000  0.500  0.500
Ag  0.000  0.974  0.753

Properties
* total DFT energy (no corrections): -3.420 eV per atom
* DFT formation energy: -0.0442 eV per atom
* density of states at the Fermi level: 0.409 states/eV per atom



# 6
Entry from Alexandria: Tl2AgPd2 after structural relaxation (PBE).

a b c (Å): 4.449 5.445 5.445
angles (deg): 64.75 65.88 65.88
Sites, in units of the cell vectors:
Tl  0.801  0.699  0.699
Ag  0.000  0.000  0.000
Pd  0.500  0.732  0.268
Pd  0.500  0.268  0.732
Tl  0.199  0.301  0.301

Properties
* relative energy among the computed polymorphs: 21 meV per atom
* total DFT energy (no corrections): -3.642 eV per atom
* DFT formation energy: -0.0480 eV per atom
* density of states at the Fermi level: 0.460 states/eV per atom



Please write out number 6 again, unchanged.
Entry from Alexandria: Tl2AgPd2 after structural relaxation (PBE).

a b c (Å): 4.449 5.445 5.445
angles (deg): 64.75 65.88 65.88
Sites, in units of the cell vectors:
Tl  0.801  0.699  0.699
Ag  0.000  0.000  0.000
Pd  0.500  0.732  0.268
Pd  0.500  0.268  0.732
Tl  0.199  0.301  0.301

Properties
* relative energy among the computed polymorphs: 21 meV per atom
* total DFT energy (no corrections): -3.642 eV per atom
* DFT formation energy: -0.0480 eV per atom
* density of states at the Fermi level: 0.460 states/eV per atom